Here is a relaxed KNi2Pt crystal from Alexandria. Energies are from PBE.

Results
calculated formation energy	0.34	eV/atom
DFT total energy	-4.3313	eV/atom
energy relative to the lowest polymorph listed for this composition	31	meV/atom
V	18.46	Å³ per atom
space group	P2/m

Lattice parameters (Å, degrees): 3.8205 2.7187 7.6182 68.97 90.00 90.00
Closest atoms and distances in Å follow each position.
Sites, in units of the cell vectors:
K 0.5000 0.7500 0.7500  2 K 2.72
Ni 0.0000 0.9131 0.0868  1 Ni 2.32
Ni 0.0000 0.5869 0.4132  1 Ni 2.32
Pt 0.5000 0.2500 0.2500  8 Ni 2.61-2.62, 2 Pt 2.72